[1]
VASP calculation (GGA-PBE) on crystalline MoBr2 at its relaxed geometry.

formation energy without anion corrections	0.249	eV/atom
polymorph energy (0 for the lowest one)	916.2	meV per atom

Cell lengths 7.1757, 7.1757, 7.1757 Å; angles 153.99, 153.99, 37.11 degrees
Fractional positions:
Mo (0.0000, 0.0000, 0.0000)
Br (0.6163, 0.6163, 0.0000)
Br (0.3837, 0.3837, 0.0000)

---

[2]
VASP calculation (GGA-PBE) on crystalline MoBr2 at its relaxed geometry.

formation energy without anion corrections	0.249	eV/atom
polymorph energy (0 for the lowest one)	916.5	meV per atom

Cell lengths 14.3084, 14.3084, 14.3084 Å; angles 167.05, 167.05, 18.35 degrees
Fractional positions:
Mo (0.2500, 0.7500, 0.5000)
Mo (0.5000, 0.5000, 0.0000)
Br (0.8060, 0.3060, 0.5000)
Br (0.9440, 0.9440, 0.0000)
Br (0.6940, 0.1940, 0.5000)
Br (0.0560, 0.0560, 0.0000)

---

[3]
VASP calculation (GGA-PBE) on crystalline MoBr2 at its relaxed geometry.

formation energy without anion corrections	-0.668	eV/atom
polymorph energy (0 for the lowest one)	0.0	meV per atom

Cell lengths 10.0126, 10.0126, 12.0536 Å; angles 90.00, 90.00, 106.00 degrees
Fractional positions:
Mo (0.0696, 0.0696, 0.8613)
Mo (0.4304, 0.4304, 0.3613)
Mo (0.5696, 0.5696, 0.6387)
Mo (0.9304, 0.9304, 0.1387)
Mo (0.8613, 0.8613, 0.9304)
Mo (0.6387, 0.6387, 0.4304)
Mo (0.3613, 0.3613, 0.5696)
Mo (0.1387, 0.1387, 0.0696)
Mo (0.3824, 0.6176, 0.5000)
Mo (0.1176, 0.8824, 0.0000)
Mo (0.6176, 0.3824, 0.5000)
Mo (0.8824, 0.1176, 0.0000)
Br (0.6544, 0.6544, 0.8456)
Br (0.8456, 0.8456, 0.3456)
Br (0.1544, 0.1544, 0.6544)
Br (0.3456, 0.3456, 0.1544)
Br (0.2214, 0.7786, 0.5000)
Br (0.2786, 0.7214, 0.0000)
Br (0.7786, 0.2214, 0.5000)
Br (0.7214, 0.2786, 0.0000)
Br (0.3228, 0.0914, 0.9310)
Br (0.1772, 0.4086, 0.4310)
Br (0.5914, 0.8228, 0.5690)
Br (0.9086, 0.6772, 0.0690)
Br (0.9533, 0.1847, 0.2071)
Br (0.5467, 0.3153, 0.7071)
Br (0.6847, 0.4533, 0.2929)
Br (0.8153, 0.0467, 0.7929)
Br (0.0467, 0.8153, 0.7929)
Br (0.4533, 0.6847, 0.2929)
Br (0.3153, 0.5467, 0.7071)
Br (0.1847, 0.9533, 0.2071)
Br (0.0914, 0.3228, 0.9310)
Br (0.4086, 0.1772, 0.4310)
Br (0.8228, 0.5914, 0.5690)
Br (0.6772, 0.9086, 0.0690)